No. 1
Entry from Alexandria: crystalline As2OsSBr at its relaxed geometry (PBE-GGA).

a = 4.824 Å, b = 4.824 Å, c = 4.650 Å
α = 90.00°, β = 90.00°, γ = 90.00°
Sites, in units of the cell vectors:
S (0.000, 0.000, 0.000)
Os (0.500, 0.500, 0.500)
Br (0.000, 0.000, 0.500)
As (0.000, 0.500, 0.000)
As (0.500, 0.000, 0.000)

Values from the calculation:
Energy   -3.65 eV per atom
Formation energy without anion corrections   1614 meV per atom
Space-group type   P4/mmm, No. 123

***

No. 2
Entry from Alexandria: crystalline LaEu2H at its relaxed geometry (PBE-GGA).

a = 3.467 Å, b = 3.467 Å, c = 9.365 Å
α = 90.00°, β = 90.00°, γ = 90.00°
Sites, in units of the cell vectors:
La (0.500, 0.500, 0.500)
Eu (0.000, 0.000, 0.178)
Eu (0.000, 0.000, 0.822)
H (0.500, 0.500, 0.000)

Values from the calculation:
Energy   -7.15 eV per atom
Space-group type   P4/mmm, No. 123

***

- Which value of energy does entry 2 give?
  -7.15 eV per atom

***

Repeat the second record exactly.
Entry from Alexandria: crystalline LaEu2H at its relaxed geometry (PBE-GGA).

a = 3.467 Å, b = 3.467 Å, c = 9.365 Å
α = 90.00°, β = 90.00°, γ = 90.00°
Sites, in units of the cell vectors:
La (0.500, 0.500, 0.500)
Eu (0.000, 0.000, 0.178)
Eu (0.000, 0.000, 0.822)
H (0.500, 0.500, 0.000)

Values from the calculation:
Energy   -7.15 eV per atom
Space-group type   P4/mmm, No. 123

***

- energy of number 2 (LaEu2H)?
  -7.15 eV per atom

***

Please write out number 1 again, unchanged.
Entry from Alexandria: crystalline As2OsSBr at its relaxed geometry (PBE-GGA).

a = 4.824 Å, b = 4.824 Å, c = 4.650 Å
α = 90.00°, β = 90.00°, γ = 90.00°
Sites, in units of the cell vectors:
S (0.000, 0.000, 0.000)
Os (0.500, 0.500, 0.500)
Br (0.000, 0.000, 0.500)
As (0.000, 0.500, 0.000)
As (0.500, 0.000, 0.000)

Values from the calculation:
Energy   -3.65 eV per atom
Formation energy without anion corrections   1614 meV per atom
Space-group type   P4/mmm, No. 123